# 1
Material: Zn2CoTc
Method: DFT, SCAN
State: PBEsol geometry

Output
Energy above the lowest structure with this stoichiometry   0.000 eV/atom
Magnetization   0.210 μB per atom
Mass density   9.44 g/cm3
SG   P4mm, No. 99

a = 2.660 Å, b = 2.660 Å, c = 7.155 Å
α = 90.00°, β = 90.00°, γ = 90.00°
Site moments in Bohr magnetons follow the coordinates.
Atoms (fractional coordinates):
Zn: 0.000 0.000 0.998  0.01
Tc: 0.500 0.500 0.726  -0.08
Co: 0.000 0.000 0.505  0.96
Zn: 0.500 0.500 0.271  -0.03

---

# 2
Material: BeCdRe2
Method: DFT, SCAN
State: PBEsol geometry

Output
Energy above the lowest structure with this stoichiometry   0.006 eV/atom
Magnetization   0.000 μB per atom
Mass density   14.41 g/cm3
SG   Immm, No. 71

a = 2.739 Å, b = 4.382 Å, c = 5.398 Å
α = 113.95°, β = 104.70°, γ = 90.00°
Atoms (fractional coordinates):
Re: 0.790 0.790 0.581
Cd: 0.000 0.500 0.000
Be: 0.500 0.000 0.000
Re: 0.210 0.210 0.419

---

# 3
Material: Sr3TaPt
Method: DFT, SCAN
State: PBEsol geometry

Output
Magnetization   0.002 μB per atom
Mass density   6.25 g/cm3
SG   Pm-3m, No. 221

a = 5.536 Å, b = 5.536 Å, c = 5.536 Å
α = 90.00°, β = 90.00°, γ = 90.00°
Atoms (fractional coordinates):
Sr: 0.000 0.000 0.500
Sr: 0.000 0.500 0.000
Sr: 0.500 0.000 0.000
Pt: 0.500 0.500 0.500
Ta: 0.000 0.000 0.000

---

# 4
Material: Ta2CdIr
Method: DFT, SCAN
State: PBEsol geometry

Output
Magnetization   0.000 μB per atom
Mass density   16.06 g/cm3
SG   P4/mmm, No. 123

a = 3.421 Å, b = 3.421 Å, c = 5.889 Å
α = 90.00°, β = 90.00°, γ = 90.00°
Atoms (fractional coordinates):
Cd: 0.500 0.500 0.000
Ir: 0.500 0.500 0.500
Ta: 0.000 0.000 0.723
Ta: 0.000 0.000 0.277

---

# 5
Material: ZrNb2W
Method: DFT, SCAN
State: PBEsol geometry

Output
Magnetization   0.000 μB per atom
Mass density   10.76 g/cm3
SG   Fm-3m, No. 225

a = 4.650 Å, b = 4.650 Å, c = 4.650 Å
α = 60.00°, β = 60.00°, γ = 60.00°
Atoms (fractional coordinates):
Zr: 0.000 0.000 0.000
W: 0.500 0.500 0.500
Nb: 0.750 0.750 0.750
Nb: 0.250 0.250 0.250

---

# 6
Material: LiFe3Os
Method: DFT, SCAN
State: PBEsol geometry

Output
Magnetization   1.937 μB per atom
Mass density   6.65 g/cm3
SG   Pm-3m, No. 221

a = 4.498 Å, b = 4.498 Å, c = 4.498 Å
α = 90.00°, β = 90.00°, γ = 90.00°
Site moments in Bohr magnetons follow the coordinates.
Atoms (fractional coordinates):
Fe: 0.000 0.000 0.500  3.12
Li: 0.500 0.500 0.500  -0.01
Fe: 0.500 0.000 0.000  3.12
Fe: 0.000 0.500 0.000  3.12
Os: 0.000 0.000 0.000  0.22

---

# 7
Material: Co5Cu
Method: DFT, SCAN
State: PBEsol geometry

Output
Energy above the lowest structure with this stoichiometry   0.170 eV/atom
Magnetization   1.527 μB per atom
Mass density   8.97 g/cm3
SG   F-43m, No. 216

a = 4.543 Å, b = 4.543 Å, c = 4.543 Å
α = 60.00°, β = 60.00°, γ = 60.00°
Site moments in Bohr magnetons follow the coordinates.
Atoms (fractional coordinates):
Co: 0.375 0.875 0.375  1.83
Cu: 0.000 0.000 0.000  0.07
Co: 0.750 0.750 0.750  1.97
Co: 0.375 0.375 0.375  1.83
Co: 0.375 0.375 0.875  1.83
Co: 0.875 0.375 0.375  1.83

---

# 8
Material: Mn2BePt
Method: DFT, SCAN
State: PBEsol geometry

Output
Magnetization   1.348 μB per atom
Mass density   11.36 g/cm3
SG   P4/mmm, No. 123

a = 3.453 Å, b = 3.459 Å, c = 3.844 Å
α = 90.00°, β = 90.00°, γ = 90.00°
Site moments in Bohr magnetons follow the coordinates.
Atoms (fractional coordinates):
Pt: 0.500 0.000 0.500  0.08
Be: 0.000 0.500 0.500  -0.08
Mn: 0.000 0.000 0.000  2.66
Mn: 0.500 0.500 0.000  2.65

---

# 9
Material: Y2SbW
Method: DFT, SCAN
State: PBEsol geometry

Output
Raw formation energy   -0.040 eV/atom
Magnetization   0.000 μB per atom
Mass density   8.94 g/cm3
SG   P4/mmm, No. 123

a = 3.929 Å, b = 4.780 Å, c = 4.780 Å
α = 90.00°, β = 90.00°, γ = 90.00°
Atoms (fractional coordinates):
Y: 0.000 0.000 0.500
Sb: 0.500 0.000 0.000
W: 0.500 0.500 0.500
Y: 0.000 0.500 0.000

---

# 10
Material: TaPdPb2Au
Method: DFT, SCAN
State: PBEsol geometry

Output
Magnetization   0.519 μB per atom
Mass density   11.28 g/cm3
SG   P4/mmm, No. 123

a = 4.927 Å, b = 5.182 Å, c = 5.182 Å
α = 90.00°, β = 90.00°, γ = 90.00°
Site moments in Bohr magnetons follow the coordinates.
Atoms (fractional coordinates):
Pd: 0.500 0.000 0.000  -0.07
Au: 0.000 0.000 0.000  0.00
Ta: 0.500 0.500 0.500  1.82
Pb: 0.000 0.500 0.000  -0.03
Pb: 0.000 0.000 0.500  -0.03

---

# 11
Material: La3CdPd
Method: DFT, SCAN
State: PBEsol geometry

Output
Magnetization   0.000 μB per atom
Mass density   6.13 g/cm3
SG   Pm-3m, No. 221

a = 5.564 Å, b = 5.564 Å, c = 5.564 Å
α = 90.00°, β = 90.00°, γ = 90.00°
Atoms (fractional coordinates):
Pd: 0.000 0.000 0.000
La: 0.000 0.000 0.500
La: 0.500 0.000 0.000
La: 0.000 0.500 0.000
Cd: 0.500 0.500 0.500

---

# 12
Material: Hf3OsBr
Method: DFT, SCAN
State: PBEsol geometry

Output
Raw formation energy   0.310 eV/atom
Magnetization   0.000 μB per atom
Mass density   10.61 g/cm3
SG   Pm-3m, No. 221

a = 5.015 Å, b = 5.015 Å, c = 5.015 Å
α = 90.00°, β = 90.00°, γ = 90.00°
Atoms (fractional coordinates):
Hf: 0.500 0.000 0.000
Br: 0.500 0.500 0.500
Hf: 0.000 0.500 0.000
Hf: 0.000 0.000 0.500
Os: 0.000 0.000 0.000

---

# 13
Material: NbGaPd3
Method: DFT, SCAN
State: PBEsol geometry

Output
Magnetization   0.000 μB per atom
Mass density   7.28 g/cm3
SG   Pm-3m, No. 221

a = 4.790 Å, b = 4.790 Å, c = 4.790 Å
α = 90.00°, β = 90.00°, γ = 90.00°
Atoms (fractional coordinates):
Pd: 0.000 0.000 0.500
Pd: 0.000 0.500 0.000
Ga: 0.500 0.500 0.500
Pd: 0.500 0.000 0.000
Nb: 0.000 0.000 0.000

---

# 14
Material: TaAg2SbN
Method: DFT, SCAN
State: PBEsol geometry

Output
Raw formation energy   2.001 eV/atom
Magnetization   0.193 μB per atom
Mass density   6.56 g/cm3
SG   P4/mmm, No. 123

a = 5.022 Å, b = 5.022 Å, c = 5.349 Å
α = 90.00°, β = 90.00°, γ = 90.00°
Site moments in Bohr magnetons follow the coordinates.
Atoms (fractional coordinates):
Ag: 0.500 0.000 0.000  0.00
N: 0.500 0.500 0.500  1.59
Ag: 0.000 0.500 0.000  0.00
Ta: 0.000 0.000 0.500  -1.99
Sb: 0.000 0.000 0.000  0.05

---

Which total DFT energy (no corrections) belongs to each record? In order, -19.82; -43.88; -39.39; -58.63; -41.59; -24.50; -16.69; -28.16; -40.70; -62.68; -38.76; -55.56; -28.56; -33.17 eV/atom.
Which calculated volume belongs to each record? In order, 12.66; 14.22; 33.93; 17.23; 17.78; 18.20; 11.05; 11.48; 22.44; 26.46; 34.44; 25.23; 21.98; 26.98 Å³/atom.
Which DOS at the Fermi energy belongs to each record? In order, 2.3; 2.0; 6.0; 3.8; 5.3; 6.5; 5.1; 2.6; 4.3; 5.3; 8.5; 4.1; 4.1; 1.9 states/eV per cell.